# Ca3Al2Au9 GGA-PBE optimized geometry
# DOS(E_F) in states/eV per cell: 7.90
# DFT formation energy in eV/f.u.: -8.0
data_Ca3Al2Au9
_chemical_formula_sum 'Ca6 Al4 Au18'
_space_group_name_H-M_alt 'I m m m'
_space_group_IT_number 71
_space_group_name_Hall '-I 2 2'
_cell_length_a 4.145
_cell_length_b 10.902
_cell_length_c 13.024
_cell_angle_alpha 90.00
_cell_angle_beta 90.00
_cell_angle_gamma 90.00
loop_
_atom_site_label
_atom_site_type_symbol
_atom_site_fract_x
_atom_site_fract_y
_atom_site_fract_z
Ca1 Ca 0.000 0.000 0.000
Ca2 Ca 0.000 0.000 0.300
Al1 Al 0.000 0.203 0.500
Au1 Au 0.000 0.297 0.133
Au2 Au 0.000 0.374 0.350
Au3 Au 0.000 0.500 0.000



# Ca2Al2Au GGA-PBE optimized geometry
# Relative energy among the computed polymorphs in eV/atom: 0.000
# DOS(E_F) in states/eV per cell: 5.81
# DFT formation energy in eV/f.u.: -2.0
data_Ca2Al2Au
_chemical_formula_sum 'Ca4 Al4 Au2'
_space_group_name_H-M_alt 'P 4/m b m'
_space_group_IT_number 127
_space_group_name_Hall '-P 4 2ab'
_cell_length_a 6.994
_cell_length_b 6.994
_cell_length_c 4.863
_cell_angle_alpha 90.00
_cell_angle_beta 90.00
_cell_angle_gamma 90.00
loop_
_atom_site_label
_atom_site_type_symbol
_atom_site_fract_x
_atom_site_fract_y
_atom_site_fract_z
Ca1 Ca 0.173 0.327 0.000
Al1 Al 0.134 0.634 0.500
Au1 Au 0.000 0.000 0.500



# Ca3Al5Au6 GGA-PBE optimized geometry
# DOS(E_F) in states/eV per cell: 9.52
# DFT formation energy in eV/f.u.: -8.7
data_Ca3Al5Au6
_chemical_formula_sum 'Ca6 Al10 Au12'
_space_group_name_H-M_alt 'P m m n'
_space_group_IT_number 59
_cell_length_a 4.476
_cell_length_b 13.520
_cell_length_c 9.275
_cell_angle_alpha 90.00
_cell_angle_beta 90.00
_cell_angle_gamma 90.00
loop_
_space_group_symop_operation_xyz
'x,y,z'
'-x,-y,-z'
'-x+1/2,-y+1/2,z'
'x+1/2,y+1/2,-z'
'x+1/2,-y,-z'
'-x+1/2,y,z'
'-x,y+1/2,-z'
'x,-y+1/2,z'
loop_
_atom_site_label
_atom_site_type_symbol
_atom_site_fract_x
_atom_site_fract_y
_atom_site_fract_z
Ca1 Ca 0.250 0.051 0.244
Ca2 Ca 0.250 0.750 0.266
Al1 Al 0.250 0.079 0.593
Al2 Al 0.250 0.617 0.979
Al3 Al 0.250 0.750 0.748
Au1 Au 0.250 0.083 0.872
Au2 Au 0.250 0.250 0.072
Au3 Au 0.250 0.250 0.440
Au4 Au 0.250 0.613 0.537



# CaAl2Au2 GGA-PBE optimized geometry
# DOS(E_F) in states/eV per cell: 5.36
# DFT formation energy in eV/f.u.: -2.0
data_CaAl2Au2
_chemical_formula_sum 'Ca2 Al4 Au4'
_space_group_name_H-M_alt 'P 4/m b m'
_space_group_IT_number 127
_space_group_name_Hall '-P 4 2ab'
_cell_length_a 7.844
_cell_length_b 7.844
_cell_length_c 3.119
_cell_angle_alpha 90.00
_cell_angle_beta 90.00
_cell_angle_gamma 90.00
loop_
_atom_site_label
_atom_site_type_symbol
_atom_site_fract_x
_atom_site_fract_y
_atom_site_fract_z
Ca1 Ca 0.000 0.000 0.000
Al1 Al 0.123 0.377 0.000
Au1 Au 0.177 0.677 0.500



# CaAl7Au12 GGA-PBE optimized geometry
# DOS(E_F) in states/eV per cell: 6.75
# DFT formation energy in eV/f.u.: -3.8
data_CaAl7Au12
_chemical_formula_sum 'Ca2 Al14 Au24'
_space_group_name_H-M_alt 'I m -3'
_space_group_IT_number 204
_space_group_name_Hall '-I 2 2 3'
_cell_length_a 9.521
_cell_length_b 9.521
_cell_length_c 9.521
_cell_angle_alpha 90.00
_cell_angle_beta 90.00
_cell_angle_gamma 90.00
loop_
_atom_site_label
_atom_site_type_symbol
_atom_site_fract_x
_atom_site_fract_y
_atom_site_fract_z
Ca1 Ca 0.000 0.000 0.000
Al1 Al 0.000 0.000 0.500
Al2 Al 0.250 0.250 0.250
Au1 Au 0.000 0.287 0.160



# CaAlAu4 GGA-PBE optimized geometry
# Relative energy among the computed polymorphs in eV/atom: 0.000
# DOS(E_F) in states/eV per cell: 8.24
# DFT formation energy in eV/f.u.: -3.0
data_CaAlAu4
_chemical_formula_sum 'Ca4 Al4 Au16'
_space_group_name_H-M_alt 'C m c m'
_space_group_IT_number 63
_space_group_name_Hall '-C 2c 2'
_cell_length_a 4.329
_cell_length_b 16.772
_cell_length_c 6.604
_cell_angle_alpha 90.00
_cell_angle_beta 90.00
_cell_angle_gamma 90.00
loop_
_atom_site_label
_atom_site_type_symbol
_atom_site_fract_x
_atom_site_fract_y
_atom_site_fract_z
Ca1 Ca 0.000 0.109 0.250
Al1 Al 0.000 0.227 0.750
Au1 Au 0.000 0.072 0.750
Au2 Au 0.000 0.326 0.036
Au3 Au 0.000 0.500 0.000



# Ca2Al12Au7 GGA-PBE optimized geometry
# DOS(E_F) in states/eV per cell: 8.03
# DFT formation energy in eV/f.u.: -10.1
data_Ca2Al12Au7
_chemical_formula_sum 'Ca2 Al12 Au7'
_space_group_name_H-M_alt 'P -3'
_space_group_IT_number 147
_cell_length_a 10.5227
_cell_length_b 10.5227
_cell_length_c 4.1200
_cell_angle_alpha 90.00
_cell_angle_beta 90.00
_cell_angle_gamma 120.00
loop_
_space_group_symop_operation_xyz
'x,y,z'
'-x,-y,-z'
'-y,x-y,z'
'y,-x+y,-z'
'-x+y,-x,z'
'x-y,x,-z'
loop_
_atom_site_label
_atom_site_type_symbol
_atom_site_fract_x
_atom_site_fract_y
_atom_site_fract_z
Ca1 Ca 0.3333 0.6667 0.2605
Al1 Al 0.0492 0.4337 0.7492
Al2 Al 0.1143 0.2668 0.2598
Au1 Au 0.0000 0.0000 0.5000
Au2 Au 0.1240 0.7114 0.7607



# Ca2Al2Au GGA-PBE optimized geometry
# Relative energy among the computed polymorphs in eV/atom: 0.687
# DOS(E_F) in states/eV per cell: 4.68
# DFT formation energy in eV/f.u.: 1.4
data_Ca2Al2Au
_chemical_formula_sum 'Ca4 Al4 Au2'
_space_group_name_H-M_alt 'I 4/m m m'
_space_group_IT_number 139
_space_group_name_Hall '-I 4 2'
_cell_length_a 4.369
_cell_length_b 4.369
_cell_length_c 13.488
_cell_angle_alpha 90.00
_cell_angle_beta 90.00
_cell_angle_gamma 90.00
loop_
_atom_site_label
_atom_site_type_symbol
_atom_site_fract_x
_atom_site_fract_y
_atom_site_fract_z
Ca1 Ca 0.000 0.500 0.250
Al1 Al 0.000 0.000 0.089
Au1 Au 0.000 0.000 0.500



Repeat the eighth record exactly.
# Ca2Al2Au GGA-PBE optimized geometry
# Relative energy among the computed polymorphs in eV/atom: 0.687
# DOS(E_F) in states/eV per cell: 4.68
# DFT formation energy in eV/f.u.: 1.4
data_Ca2Al2Au
_chemical_formula_sum 'Ca4 Al4 Au2'
_space_group_name_H-M_alt 'I 4/m m m'
_space_group_IT_number 139
_space_group_name_Hall '-I 4 2'
_cell_length_a 4.369
_cell_length_b 4.369
_cell_length_c 13.488
_cell_angle_alpha 90.00
_cell_angle_beta 90.00
_cell_angle_gamma 90.00
loop_
_atom_site_label
_atom_site_type_symbol
_atom_site_fract_x
_atom_site_fract_y
_atom_site_fract_z
Ca1 Ca 0.000 0.500 0.250
Al1 Al 0.000 0.000 0.089
Au1 Au 0.000 0.000 0.500



Question: Among the records above, which one has the highest DFT formation energy?
Answer: number 8



Question: The lowest DFT formation energy belongs to which entry?
Answer: Ca2Al12Au7



Question: Look up the DOS(E_F) of the sixth one.
Answer: 8.24 states/eV per cell